# ZrScTlNi

A geometry-optimized ZrScTlNi structure (PBE-GGA, OQMD).

The value obtained for the raw total energy is -89.99 eV/cell. As for the volume: 19.17 Å³/atom. The density is 8.6 Mg/m³.

The space group is F-43m (No. 216) and the conventional cell measures 6.744, 6.744 and 6.744 Å, with angles of 90.00, 90.00 and 90.00 degrees. The distinct sites, in fractional coordinates, are Zr at (0.000, 0.000, 0.000), Sc at (0.250, 0.250, 0.250), Tl at (0.000, 0.000, 0.500) and Ni at (0.250, 0.250, 0.750).